Here is a relaxed structure of ZnNiIO2 from Alexandria via LeMat-Bulk. Energies are from PBE with a Hubbard U.

Properties
uncorrected energy = -15.0 eV per cell

CIF file:
```
data_ZnNiIO2
_chemical_formula_sum 'Zn1 Ni1 I1 O2'
_cell_length_a 3.869
_cell_length_b 3.869
_cell_length_c 5.898
_cell_angle_alpha 90.00
_cell_angle_beta 90.00
_cell_angle_gamma 90.00
_symmetry_space_group_name_H-M 'P 4/m m m'
_symmetry_Int_Tables_number 123
_symmetry_space_group_name_Hall '-P 4 2'
loop_
_atom_site_label
_atom_site_fract_x
_atom_site_fract_y
_atom_site_fract_z
_atom_site_occupancy
Zn1 0.000 0.000 0.000 1
Ni1 0.500 0.500 0.500 1
I1 0.500 0.500 0.000 1
O1 0.000 0.500 0.500 1
```